Density functional theory data (GGA-PBE) for crystalline Pm7PrNd3 at its relaxed geometry.

Cell: 7.2571 7.2571 8.8181 Å, 90.00 90.00 120.00°
Closest atoms and distances in Å follow each position.
Fractional positions:
Pm  0.0000  0.0000  0.0000  9 Pm 3.56-3.63, 3 Nd 3.65
Pm  0.0006  0.5003  0.0077  1 Pr 3.57, 2 Nd 3.60, 8 Pm 3.62-3.64
Pm  0.3323  0.1661  0.6725  7 Pm 3.56-3.64, 2 Nd 3.61, 2 Pr 3.63
Pm  0.4997  0.5003  0.0077  1 Pr 3.57, 2 Nd 3.60, 8 Pm 3.62-3.64
Pm  0.4997  0.9994  0.0077  1 Pr 3.57, 2 Nd 3.60, 8 Pm 3.62-3.64
Pm  0.8339  0.1661  0.6725  7 Pm 3.56-3.64, 2 Nd 3.61, 2 Pr 3.63
Pm  0.8339  0.6677  0.6725  7 Pm 3.56-3.64, 2 Nd 3.61, 2 Pr 3.63
Pr  0.3333  0.6667  0.6796  9 Pm 3.57-3.63, 3 Nd 3.66
Nd  0.1664  0.3328  0.3392  5 Pm 3.60-3.65, 4 Nd 3.62-3.63, 1 Pr 3.66
Nd  0.1664  0.8336  0.3392  5 Pm 3.60-3.65, 4 Nd 3.62-3.63, 1 Pr 3.66
Nd  0.6672  0.8336  0.3392  5 Pm 3.60-3.65, 4 Nd 3.62-3.63, 1 Pr 3.66

Summary:
ΔH_f (0 K) ... 171 meV/atom
Energy relative to the lowest polymorph listed for this composition ... 0.000 eV per atom
Symmetry ... P3m1 (156)